# La2Tl4Sn

An optimized crystal structure of La2Tl4Sn (PBE, Alexandria via LeMat-Bulk).

a = 11.433 Å, b = 6.093 Å, c = 6.977 Å
α = 115.89°, β = 90.00°, γ = 90.00°
Fractional positions:
Tl: 0.250 0.750 0.000
Tl: 0.750 0.501 0.500
Tl: 0.750 0.750 0.000
Tl: 0.250 0.999 0.500
Tl: 0.750 0.001 0.500
Tl: 0.250 0.499 0.500
Tl: 0.750 0.250 0.000
Tl: 0.250 0.250 0.000
La: 0.500 0.144 0.289
La: 0.000 0.356 0.711
La: 0.500 0.856 0.711
La: 0.000 0.644 0.289
Sn: 0.000 0.000 0.000
Sn: 0.500 0.500 0.000

Summary:
ρ, g/cm³: 9.2
Formation energy from the elements, eV/atom: -0.132
V, Å³ per atom: 31.2
Space-group type: No. 64